[1]
# GGA-PBE Dy5Tl2Co2, relaxed
data_Dy5Tl2Co2
_space_group_name_H-M_alt 'C m c e'
_space_group_IT_number 64
_space_group_name_Hall '-C 2ac 2'
_cell_length_a 16.639
_cell_length_b 7.357
_cell_length_c 7.324
_cell_angle_alpha 90.00
_cell_angle_beta 90.00
_cell_angle_gamma 90.00
loop_
_atom_site_label
_atom_site_type_symbol
_atom_site_fract_x
_atom_site_fract_y
_atom_site_fract_z
Dy1 Dy 0.000 0.000 0.000
Dy2 Dy 0.115 0.181 0.324
Tl1 Tl 0.226 0.000 0.000
Co1 Co 0.000 0.112 0.611
# formation energy from the elements	-250	meV/atom



[2]
# GGA-PBE La2GaPd6Pb, relaxed
data_La2GaPd6Pb
_space_group_name_H-M_alt 'R -3 m'
_space_group_IT_number 166
_space_group_name_Hall '-R 3 2"'
_cell_length_a 6.9437
_cell_length_b 6.9437
_cell_length_c 16.9842
_cell_angle_alpha 90.00
_cell_angle_beta 90.00
_cell_angle_gamma 120.00
loop_
_atom_site_label
_atom_site_type_symbol
_atom_site_fract_x
_atom_site_fract_y
_atom_site_fract_z
La1 La 0.0000 0.0000 0.2500
Ga1 Ga 0.0000 0.0000 0.0000
Pd1 Pd 0.0163 0.5081 0.7459
Pb1 Pb 0.0000 0.0000 0.5000
# formation energy from the elements	-289	meV/atom



[3]
# GGA-PBE YAuSe2, relaxed
data_YAuSe2
_space_group_name_H-M_alt 'P 4/m m m'
_space_group_IT_number 123
_space_group_name_Hall '-P 4 2'
_cell_length_a 4.067
_cell_length_b 4.067
_cell_length_c 5.720
_cell_angle_alpha 90.00
_cell_angle_beta 90.00
_cell_angle_gamma 90.00
loop_
_atom_site_label
_atom_site_type_symbol
_atom_site_fract_x
_atom_site_fract_y
_atom_site_fract_z
Y1 Y 0.000 0.000 0.000
Au1 Au 0.500 0.500 0.500
Se1 Se 0.000 0.000 0.500
Se2 Se 0.500 0.500 0.000
# E_form (uncorrected)	-0.977	eV per atom



[4]
# GGA-PBE OsRu2Pb, relaxed
data_OsRu2Pb
_space_group_name_H-M_alt 'I -4 2 d'
_space_group_IT_number 122
_space_group_name_Hall 'I -4 2bw'
_cell_length_a 5.784
_cell_length_b 5.784
_cell_length_c 11.694
_cell_angle_alpha 90.00
_cell_angle_beta 90.00
_cell_angle_gamma 90.00
loop_
_atom_site_label
_atom_site_type_symbol
_atom_site_fract_x
_atom_site_fract_y
_atom_site_fract_z
Os1 Os 0.000 0.000 0.000
Ru1 Ru 0.202 0.250 0.125
Pb1 Pb 0.000 0.000 0.500
# formation energy from the elements	1198	meV/atom



[5]
# GGA-PBE TlCrNi2Sb, relaxed
data_TlCrNi2Sb
_space_group_name_H-M_alt 'P 4/m m m'
_space_group_IT_number 123
_space_group_name_Hall '-P 4 2'
_cell_length_a 4.570
_cell_length_b 4.570
_cell_length_c 4.921
_cell_angle_alpha 90.00
_cell_angle_beta 90.00
_cell_angle_gamma 90.00
loop_
_atom_site_label
_atom_site_type_symbol
_atom_site_fract_x
_atom_site_fract_y
_atom_site_fract_z
Tl1 Tl 0.000 0.000 0.000
Cr1 Cr 0.500 0.500 0.500
Ni1 Ni 0.000 0.500 0.500
Sb1 Sb 0.500 0.500 0.000
# E_form (uncorrected)	0.858	eV per atom



[6]
# GGA-PBE LiMg2As, relaxed
data_LiMg2As
_space_group_name_H-M_alt 'I -4 2 d'
_space_group_IT_number 122
_space_group_name_Hall 'I -4 2bw'
_cell_length_a 9.071
_cell_length_b 9.071
_cell_length_c 4.957
_cell_angle_alpha 90.00
_cell_angle_beta 90.00
_cell_angle_gamma 90.00
loop_
_atom_site_label
_atom_site_type_symbol
_atom_site_fract_x
_atom_site_fract_y
_atom_site_fract_z
Li1 Li 0.000 0.000 0.000
Mg1 Mg 0.139 0.250 0.625
As1 As 0.000 0.000 0.500
# formation energy from the elements	-206	meV/atom



Sequential spin magnetization output: 0.00; 0.00; 0.00; 0.00; 2.13; 0.00 μB per formula unit
Sequential DOS at the Fermi energy output: 0.726; 0.751; 0.371; 0.749; 1.211; 0.217 states/eV per atom
Sequential E output: -4.911; -5.064; -5.155; -7.174; -4.677; -2.644 eV per atom